1.
Below is LaCu2Bi2 after structural relaxation, with properties calculated at the PBE level.

POSCAR file:
```
LaCu2Bi2
1.0
-3.0386 0.1602 7.8662
5.3823 -6.1083 2.2036
2.3137 2.3439 0.8460
Bi La Cu
4 2 4
Direct
0.3561 0.8561 0.0000 Bi
0.8561 0.6439 0.0000 Bi
0.1439 0.3561 0.0000 Bi
0.6439 0.1439 0.0000 Bi
0.0000 0.0000 0.0000 La
0.5000 0.5000 0.0000 La
0.1502 0.6502 0.5000 Cu
0.3498 0.1502 0.5000 Cu
0.6502 0.8498 0.5000 Cu
0.8498 0.3498 0.5000 Cu
```

Computed properties:
As for the space-group type: P4/mbm, No. 127. As for the calculated formation energy: -0.08 eV/f.u. The calculation puts the total energy at -4.19 eV/atom. The size of the total moment is 0.00 μB/atom. The value obtained for the density of states at the Fermi level is 5.27 states/eV/cell.



2.
Below is Li2LaCuBi after structural relaxation, with properties calculated at the PBE level.

POSCAR file:
```
Li2LaCuBi
1.0
4.8322 0.0000 0.0000
0.0000 5.4605 0.0000
0.0000 0.0000 4.8322
Bi Li Cu La
1 2 1 1
Direct
0.5000 0.5000 0.5000 Bi
0.0000 0.0000 0.5000 Li
0.5000 0.0000 0.0000 Li
0.0000 0.0000 0.0000 Cu
0.0000 0.5000 0.0000 La
```

Computed properties:
As for the space-group type: P4/mmm, No. 123. As for the calculated formation energy: -1.08 eV/f.u. The calculation puts the total energy at -3.56 eV/atom. The size of the total moment is 0.00 μB/atom. The value obtained for the density of states at the Fermi level is 2.52 states/eV/cell.



3.
Below is La2CuBiN after structural relaxation, with properties calculated at the PBE level.

POSCAR file:
```
La2CuBiN
1.0
5.2477 0.0000 0.0000
0.0000 5.2477 0.0000
0.0000 0.0000 4.1572
Bi N La Cu
1 1 2 1
Direct
0.5000 0.5000 0.5000 Bi
0.0000 0.0000 0.0000 N
0.5000 0.0000 0.0000 La
0.0000 0.5000 0.0000 La
0.0000 0.0000 0.5000 Cu
```

Computed properties:
As for the space-group type: P4/mmm, No. 123. The formation energy without anion corrections is -757 meV/atom. The calculation puts the total energy at -5.99 eV/atom. The size of the total moment is 0.00 μB/atom. The value obtained for the density of states at the Fermi level is 1.88 states/eV/cell.



4.
Below is La2CuBiO6 after structural relaxation, with properties calculated at the PBE level.

POSCAR file:
```
La2CuBiO6
1.0
-2.4197 2.4866 -4.5133
-1.8612 -5.0086 -1.7616
-1.6383 1.7270 5.8049
O Bi La Cu
6 1 2 1
Direct
0.1967 0.6894 0.8514 O
0.8033 0.3106 0.1486 O
0.8033 0.8380 0.1486 O
0.1967 0.1620 0.8514 O
0.3575 0.7352 0.4704 O
0.6425 0.2648 0.5296 O
0.0000 0.5000 0.0000 Bi
0.7703 0.7426 0.4852 La
0.2297 0.2574 0.5148 La
0.5000 0.0000 0.0000 Cu
```

Computed properties:
As for the space-group type: C2/m, No. 12. The formation energy without anion corrections is -2085 meV/atom. The calculation puts the total energy at -6.84 eV/atom. The size of the total moment is 0.00 μB/atom. The value obtained for the density of states at the Fermi level is 2.09 states/eV/cell.



5.
Below is Sr2LaCu2Bi2O8 after structural relaxation, with properties calculated at the PBE level.

POSCAR file:
```
Sr2LaCu2Bi2O8
1.0
15.6834 0.0072 0.0000
-14.6821 5.5141 0.0000
0.0000 0.0000 5.4048
O Cu Bi La Sr
16 4 4 2 4
Direct
0.6044 0.7050 0.5000 O
0.6964 0.3036 0.2500 O
0.1048 0.3331 0.5000 O
0.1981 0.8019 0.2500 O
0.6964 0.3036 0.7500 O
0.3036 0.6964 0.7500 O
0.3331 0.1048 0.0000 O
0.8019 0.1981 0.2500 O
0.6669 0.8952 0.0000 O
0.3036 0.6964 0.2500 O
0.8019 0.1981 0.7500 O
0.8952 0.6669 0.5000 O
0.3956 0.2950 0.5000 O
0.1981 0.8019 0.7500 O
0.7050 0.6044 0.0000 O
0.2950 0.3956 0.0000 O
0.0553 0.4456 0.5000 Cu
0.5544 0.9447 0.0000 Cu
0.9447 0.5544 0.5000 Cu
0.4456 0.0553 0.0000 Cu
0.6824 0.7757 0.0000 Bi
0.2243 0.3176 0.5000 Bi
0.7757 0.6824 0.5000 Bi
0.3176 0.2243 0.0000 Bi
0.5000 0.0000 0.5000 La
0.0000 0.5000 0.0000 La
0.8928 0.6208 0.0000 Sr
0.6208 0.8928 0.5000 Sr
0.1072 0.3792 0.0000 Sr
0.3792 0.1072 0.5000 Sr
```

Computed properties:
As for the space-group type: Cccm, No. 66. The formation energy without anion corrections is -1805 meV/atom. The calculation puts the total energy at -6.07 eV/atom. The size of the total moment is 0.00 μB/atom. The value obtained for the density of states at the Fermi level is 6.25 states/eV/cell.



6.
Below is Sr3LaCu2Bi4O12 after structural relaxation, with properties calculated at the PBE level.

POSCAR file:
```
Sr3LaCu2Bi4O12
1.0
-2.9927 4.1168 -1.9364
0.3129 -2.0845 -4.9464
-10.4159 -5.5072 5.1130
Cu Bi Sr O La
2 4 3 12 1
Direct
0.5024 0.0190 0.4979 Cu
0.0044 0.5187 0.4978 Cu
0.0181 0.3329 0.1270 Bi
0.5075 0.2147 0.8773 Bi
0.0470 0.7122 0.8742 Bi
0.5178 0.8341 0.1272 Bi
0.5159 0.6069 0.6443 Sr
0.4967 0.4356 0.3571 Sr
0.9959 0.9317 0.3500 Sr
0.9266 0.7488 0.1364 O
0.2488 0.7797 0.5072 O
0.7592 0.2665 0.5031 O
0.7577 0.7758 0.5026 O
0.4257 0.2507 0.1358 O
0.9876 0.3919 0.2934 O
0.1184 0.2965 0.8548 O
0.5659 0.1546 0.7128 O
0.4865 0.8954 0.2938 O
0.2500 0.2716 0.5090 O
0.4356 0.8046 0.8633 O
0.9922 0.6584 0.7092 O
0.0019 0.0976 0.6318 La
```

Computed properties:
As for the space-group type: P1, No. 1. The formation energy without anion corrections is -1750 meV/atom. The calculation puts the total energy at -5.99 eV/atom. The size of the total moment is 0.00 μB/atom. The value obtained for the density of states at the Fermi level is 5.05 states/eV/cell.